DFT (GGA+U) results for a relaxed structure of Mg2CrWO6.

E above lowest polymorph = 0.032 eV/atom
density = 5.8 Mg/m³
electronic total energy = -7.00 eV per atom

Cell and atoms, written as CIF:
```
data_Mg2CrWO6
_chemical_formula_sum 'Mg2 Cr1 W1 O6'
_cell_length_a 5.185
_cell_length_b 5.185
_cell_length_c 5.549
_cell_angle_alpha 62.14
_cell_angle_beta 62.14
_cell_angle_gamma 60.00
_symmetry_space_group_name_H-M 'P 1'
_symmetry_Int_Tables_number 1
loop_
_symmetry_equiv_pos_as_xyz
'x,y,z'
loop_
_atom_site_label
_atom_site_fract_x
_atom_site_fract_y
_atom_site_fract_z
W1 0.997 0.997 0.009
Mg1 0.791 0.791 0.626
Mg2 0.291 0.291 0.127
O1 0.107 0.723 0.793
O2 0.377 0.107 0.793
O3 0.211 0.613 0.289
O4 0.723 0.377 0.793
O5 0.613 0.886 0.289
O6 0.886 0.211 0.289
Cr1 0.498 0.498 0.506
```